Here is TaRe2 after structural relaxation from Alexandria. Energies are from PBE-GGA.

Lattice parameters (Å, degrees): 2.779 7.876 4.407 90.00 90.00 90.00
Space group Pnnm (No. 58)
Asymmetric unit:
Ta  0.000  0.000  0.000
Re  0.186  0.340  0.000

Output
Calculated density in Mg/m³: 19.05
DFT formation energy in eV/atom: 0.09

***

Here is Ta3Re5 after structural relaxation from Alexandria. Energies are from PBE-GGA.

Lattice parameters (Å, degrees): 6.364 8.978 4.496 90.00 90.00 90.00
Space group Cmmm (No. 65)
Asymmetric unit:
Ta  0.000  0.000  0.000
Ta  0.000  0.253  0.500
Re  0.000  0.500  0.000
Re  0.249  0.000  0.500
Re  0.250  0.250  0.000

Output
Calculated density in Mg/m³: 19.05
DFT formation energy in eV/atom: -0.22
Relative energy among the computed polymorphs in meV/atom: 0

***

Here is Ta3Re after structural relaxation from Alexandria. Energies are from PBE-GGA.

Lattice parameters (Å, degrees): 6.496 6.496 6.496 90.00 90.00 90.00
Space group Fm-3m (No. 225)
Asymmetric unit:
Ta  0.000  0.000  0.000
Ta  0.250  0.250  0.250
Re  0.000  0.000  0.500

Output
Calculated density in Mg/m³: 17.67
DFT formation energy in eV/atom: -0.22

***

Here is TaRe2 after structural relaxation from Alexandria. Energies are from PBE-GGA.

Lattice parameters (Å, degrees): 4.008 4.008 24.047 90.00 90.00 90.00
Space group I4_1/amd (No. 141, origin choice 2)
Asymmetric unit:
Ta  0.000  0.250  0.296
Re  0.000  0.250  0.127
Re  0.000  0.250  0.792

Output
Calculated density in Mg/m³: 19.03
DFT formation energy in eV/atom: 0.06

***

Here is Ta7Re3 after structural relaxation from Alexandria. Energies are from PBE-GGA.

Lattice parameters (Å, degrees): 8.6692 8.6692 5.5610 90.00 90.00 120.00
Space group P6_3/mmc (No. 194)
Asymmetric unit:
Ta  0.0000  0.5000  0.0000
Ta  0.1241  0.2482  0.2500
Ta  0.3333  0.6667  0.2500
Re  0.2206  0.4412  0.7500

Output
Calculated density in Mg/m³: 16.75
DFT formation energy in eV/atom: 0.05

***

Here is TaRe2 after structural relaxation from Alexandria. Energies are from PBE-GGA.

Lattice parameters (Å, degrees): 7.351 7.351 7.351 90.00 90.00 90.00
Space group Fd-3m (No. 227, origin choice 2)
Asymmetric unit:
Ta  0.125  0.125  0.125
Re  0.000  0.000  0.500

Output
Calculated density in Mg/m³: 18.50
DFT formation energy in eV/atom: -0.09

***

Here is Ta5Re24 after structural relaxation from Alexandria. Energies are from PBE-GGA.

Lattice parameters (Å, degrees): 9.693 9.693 9.693 90.00 90.00 90.00
Space group I-43m (No. 217)
Asymmetric unit:
Ta  0.000  0.000  0.000
Ta  0.182  0.182  0.818
Re  0.041  0.358  0.358
Re  0.091  0.091  0.285

Output
Calculated density in Mg/m³: 19.59
DFT formation energy in eV/atom: -0.16

***

Here is TaRe2 after structural relaxation from Alexandria. Energies are from PBE-GGA.

Lattice parameters (Å, degrees): 3.185 4.515 13.323 90.00 90.00 90.00
Space group Fmmm (No. 69)
Asymmetric unit:
Ta  0.000  0.000  0.000
Re  0.000  0.000  0.331

Output
Calculated density in Mg/m³: 19.19
DFT formation energy in eV/atom: 0.00

***

Here is Ta2Re3 after structural relaxation from Alexandria. Energies are from PBE-GGA.

Lattice parameters (Å, degrees): 9.425 13.143 5.475 90.00 90.00 90.00
Space group Fdd2 (No. 43)
Asymmetric unit:
Ta  0.070  0.302  0.000
Re  0.000  0.000  0.350
Re  0.057  0.383  0.489

Output
Calculated density in Mg/m³: 18.03
DFT formation energy in eV/atom: 0.21
Relative energy among the computed polymorphs in meV/atom: 0

***

Here is TaRe2 after structural relaxation from Alexandria. Energies are from PBE-GGA.

Lattice parameters (Å, degrees): 6.108 6.108 5.507 90.00 90.00 90.00
Space group I4/mcm (No. 140)
Asymmetric unit:
Ta  0.000  0.000  0.250
Re  0.147  0.353  0.000

Output
Calculated density in Mg/m³: 17.89
DFT formation energy in eV/atom: 0.62

***

- The highest DFT formation energy belongs to which entry?
  number 10